The following is a PBE calculation of a relaxed structure of Pr4Y8Tm3, from Alexandria.

a = 9.345 Å, b = 9.345 Å, c = 6.795 Å
α = 111.21°, β = 111.21°, γ = 87.30°
Fractional coordinates of all 15 atoms:
Pr (0.000, 0.000, 0.000)
Pr (0.000, 0.000, 0.500)
Pr (0.000, 0.500, 0.000)
Pr (0.500, 0.000, 0.000)
Y (0.255, 0.745, 0.000)
Y (0.267, 0.267, 0.515)
Y (0.272, 0.272, 0.039)
Y (0.361, 0.639, 0.500)
Y (0.639, 0.361, 0.500)
Y (0.728, 0.728, 0.961)
Y (0.733, 0.733, 0.485)
Y (0.745, 0.255, 0.000)
Tm (0.000, 0.500, 0.500)
Tm (0.500, 0.000, 0.500)
Tm (0.500, 0.500, 0.000)

Values from the calculation:
**Crystal system**: monoclinic
**Calculated density**: 5.76 g/cm3
**Distance to the lowest polymorph of the same formula**: 241.2 meV per atom
**M_tot**: 0.8 μB per formula unit
**Space group**: C2/m, No. 12


The following is a PBE calculation of a relaxed structure of Pr2Y2Tm5, from Alexandria.

a = 10.083 Å, b = 10.083 Å, c = 10.083 Å
α = 84.62°, β = 108.27°, γ = 141.28°
Fractional coordinates of all 18 atoms:
Pr (0.000, 0.000, 0.000)
Pr (0.000, 0.500, 0.500)
Pr (0.894, 0.655, 0.739)
Pr (0.915, 0.155, 0.261)
Y (0.446, 0.578, 0.120)
Y (0.446, 0.826, 0.368)
Y (0.458, 0.078, 0.632)
Y (0.458, 0.326, 0.880)
Tm (0.043, 0.355, 0.794)
Tm (0.043, 0.749, 0.188)
Tm (0.344, 0.250, 0.377)
Tm (0.344, 0.467, 0.594)
Tm (0.360, 0.861, 0.000)
Tm (0.561, 0.249, 0.206)
Tm (0.561, 0.855, 0.812)
Tm (0.861, 0.361, 0.000)
Tm (0.873, 0.750, 0.406)
Tm (0.873, 0.967, 0.623)

Values from the calculation:
**Crystal system**: orthorhombic
**Calculated density**: 7.36 g/cm3
**Distance to the lowest polymorph of the same formula**: 0.0 meV per atom
**M_tot**: 0.0 μB per formula unit
**Space group**: Ima2, No. 46


The following is a PBE calculation of a relaxed structure of Pr5Y3Tm3, from Alexandria.

a = 11.323 Å, b = 11.323 Å, c = 3.481 Å
α = 90.00°, β = 90.00°, γ = 120.00°
Fractional coordinates of all 11 atoms:
Pr (0.000, 0.663, 0.000)
Pr (0.333, 0.667, 0.000)
Pr (0.337, 0.337, 0.000)
Pr (0.663, 0.000, 0.000)
Pr (0.667, 0.333, 0.000)
Y (0.000, 0.403, 0.500)
Y (0.403, 0.000, 0.500)
Y (0.597, 0.597, 0.500)
Tm (0.000, 0.158, 0.000)
Tm (0.158, 0.000, 0.000)
Tm (0.842, 0.842, 0.000)

Values from the calculation:
**Crystal system**: hexagonal
**Total energy**: -0.35633 Ry per atom
**Calculated density**: 6.35 g/cm3
**M_tot**: 0.0 μB per formula unit
**Space group**: P-62m, No. 189


The following is a PBE calculation of a relaxed structure of Pr2YTm3, from Alexandria.

a = 11.828 Å, b = 11.828 Å, c = 10.229 Å
α = 108.25°, β = 108.25°, γ = 17.00°
Fractional coordinates of all 12 atoms:
Pr (0.068, 0.068, 0.133)
Pr (0.310, 0.310, 0.628)
Pr (0.690, 0.690, 0.372)
Pr (0.932, 0.932, 0.867)
Y (0.311, 0.311, 0.965)
Y (0.689, 0.689, 0.035)
Tm (0.070, 0.070, 0.760)
Tm (0.306, 0.306, 0.286)
Tm (0.442, 0.442, 0.554)
Tm (0.558, 0.558, 0.446)
Tm (0.694, 0.694, 0.714)
Tm (0.930, 0.930, 0.240)

Values from the calculation:
**Crystal system**: monoclinic
**Calculated density**: 7.34 g/cm3
**Distance to the lowest polymorph of the same formula**: 3.5 meV per atom
**M_tot**: 0.0 μB per formula unit
**Space group**: C2/m, No. 12


The following is a PBE calculation of a relaxed structure of Pr5Y4Tm2, from Alexandria.

a = 12.878 Å, b = 12.878 Å, c = 12.878 Å
α = 164.14°, β = 138.07°, γ = 45.10°
Fractional coordinates of all 11 atoms:
Pr (0.000, 0.000, 0.000)
Pr (0.053, 0.352, 0.701)
Pr (0.349, 0.648, 0.701)
Pr (0.651, 0.352, 0.299)
Pr (0.947, 0.648, 0.299)
Y (0.313, 0.500, 0.813)
Y (0.402, 0.902, 0.500)
Y (0.598, 0.098, 0.500)
Y (0.687, 0.500, 0.187)
Tm (0.270, 0.770, 0.500)
Tm (0.730, 0.230, 0.500)

Values from the calculation:
**Crystal system**: orthorhombic
**Calculated density**: 5.96 g/cm3
**Distance to the lowest polymorph of the same formula**: 139.0 meV per atom
**M_tot**: 0.0 μB per formula unit
**Space group**: Immm, No. 71


The following is a PBE calculation of a relaxed structure of Pr7Y2Tm2, from Alexandria.

a = 8.182 Å, b = 8.182 Å, c = 6.185 Å
α = 105.40°, β = 105.40°, γ = 90.29°
Fractional coordinates of all 11 atoms:
Pr (0.000, 0.000, 0.000)
Pr (0.051, 0.585, 0.819)
Pr (0.415, 0.949, 0.181)
Pr (0.424, 0.424, 0.198)
Pr (0.576, 0.576, 0.802)
Pr (0.585, 0.051, 0.819)
Pr (0.949, 0.415, 0.181)
Y (0.211, 0.789, 0.500)
Y (0.789, 0.211, 0.500)
Tm (0.231, 0.231, 0.584)
Tm (0.769, 0.769, 0.416)

Values from the calculation:
**Crystal system**: monoclinic
**Calculated density**: 6.50 g/cm3
**Distance to the lowest polymorph of the same formula**: 0.0 meV per atom
**M_tot**: 0.0 μB per formula unit
**Space group**: C2/m, No. 12